This record from Alexandria via LeMat-Bulk describes a relaxed TbPmAlSn crystal. The functional is PBE-GGA.

As for the volume: 423 Å³/cell. The calculation puts the total magnetic moment at 0.0 μB per formula unit. As for the formation energy: -0.449 eV/atom.

It has space group F-43m (No. 216), with a = 7.5069 Å, b = 7.5069 Å, c = 7.5069 Å, α = 90.00°, β = 90.00° and γ = 90.00°. The asymmetric unit holds Tb at (0.0000, 0.0000, 0.0000), Pm at (0.0000, 0.0000, 0.5000), Al at (0.2500, 0.2500, 0.7500) and Sn at (0.2500, 0.2500, 0.2500).